Density functional theory data (GGA-PBEsol) for an optimized crystal structure of ZrHgSN2.

As for the density: 6.56 Mg/m³. For the formation energy (no corrections), the calculation gives 283 meV/atom.

The space group is P4/mmm (No. 123) and the conventional cell measures 4.055, 4.055 and 5.415 Å, with angles of 90.00, 90.00 and 90.00 degrees. The asymmetric unit holds Zr at (0.000, 0.000, 0.000), Hg at (0.500, 0.500, 0.500), S at (0.000, 0.000, 0.500) and N at (0.000, 0.500, 0.000).


Density functional theory data (GGA-PBEsol) for an optimized crystal structure of HgSb3N.

As for the density: 5.74 Mg/m³. For the formation energy (no corrections), the calculation gives 1820 meV/atom.

The space group is Pm-3m (No. 221) and the conventional cell measures 5.515, 5.515 and 5.515 Å, with angles of 90.00, 90.00 and 90.00 degrees. The asymmetric unit holds Hg at (0.000, 0.000, 0.000), Sb at (0.000, 0.000, 0.500) and N at (0.500, 0.500, 0.500).


Density functional theory data (GGA-PBEsol) for an optimized crystal structure of HgSb2N.

As for the density: 8.02 Mg/m³. For the formation energy (no corrections), the calculation gives 505 meV/atom.

The space group is I-42d (No. 122) and the conventional cell measures 5.431, 5.431 and 12.860 Å, with angles of 90.00, 90.00 and 90.00 degrees. The asymmetric unit holds Hg at (0.000, 0.000, 0.000), Sb at (0.148, 0.250, 0.625) and N at (0.000, 0.000, 0.500).


Density functional theory data (GGA-PBEsol) for an optimized crystal structure of ScHg3N.

As for the density: 6.42 Mg/m³. For the formation energy (no corrections), the calculation gives 1377 meV/atom.

The space group is Pm-3m (No. 221) and the conventional cell measures 5.549, 5.549 and 5.549 Å, with angles of 90.00, 90.00 and 90.00 degrees. The asymmetric unit holds Sc at (0.000, 0.000, 0.000), Hg at (0.000, 0.000, 0.500) and N at (0.500, 0.500, 0.500).


Density functional theory data (GGA-PBEsol) for an optimized crystal structure of Sc3HgN.

As for the density: 6.83 Mg/m³. For the formation energy (no corrections), the calculation gives -1223 meV/atom.

The space group is Pm-3m (No. 221) and the conventional cell measures 4.396, 4.396 and 4.396 Å, with angles of 90.00, 90.00 and 90.00 degrees. The asymmetric unit holds Sc at (0.000, 0.000, 0.500), Hg at (0.500, 0.500, 0.500) and N at (0.000, 0.000, 0.000).


Density functional theory data (GGA-PBEsol) for an optimized crystal structure of ScHgSeN2.

As for the density: 6.30 Mg/m³. For the formation energy (no corrections), the calculation gives 555 meV/atom.

The space group is P4/mmm (No. 123) and the conventional cell measures 4.132, 4.132 and 5.444 Å, with angles of 90.00, 90.00 and 90.00 degrees. The asymmetric unit holds Sc at (0.000, 0.000, 0.000), Hg at (0.500, 0.500, 0.500), Se at (0.000, 0.000, 0.500) and N at (0.000, 0.500, 0.000).


Density functional theory data (GGA-PBEsol) for an optimized crystal structure of Hg2SeN.

As for the density: 11.11 Mg/m³. For the formation energy (no corrections), the calculation gives 1208 meV/atom.

The space group is Fm-3m (No. 225) and the conventional cell measures 6.660, 6.660 and 6.660 Å, with angles of 90.00, 90.00 and 90.00 degrees. The asymmetric unit holds Hg at (0.250, 0.250, 0.250), Se at (0.000, 0.000, 0.000) and N at (0.000, 0.000, 0.500).


Density functional theory data (GGA-PBEsol) for an optimized crystal structure of Hg3SeN.

As for the density: 11.53 Mg/m³. For the formation energy (no corrections), the calculation gives 619 meV/atom.

The space group is Pm-3m (No. 221) and the conventional cell measures 4.642, 4.642 and 4.642 Å, with angles of 90.00, 90.00 and 90.00 degrees. The asymmetric unit holds Hg at (0.000, 0.000, 0.500), Se at (0.500, 0.500, 0.500) and N at (0.000, 0.000, 0.000).


Density functional theory data (GGA-PBEsol) for an optimized crystal structure of SiHgSeN2.

As for the density: 7.30 Mg/m³. For the formation energy (no corrections), the calculation gives 504 meV/atom.

The space group is P4/mmm (No. 123) and the conventional cell measures 3.569, 3.569 and 5.992 Å, with angles of 90.00, 90.00 and 90.00 degrees. The asymmetric unit holds Si at (0.000, 0.000, 0.000), Hg at (0.500, 0.500, 0.500), Se at (0.000, 0.000, 0.500) and N at (0.000, 0.500, 0.000).


Density functional theory data (GGA-PBEsol) for an optimized crystal structure of SnHgSeN2.

As for the density: 7.42 Mg/m³. For the formation energy (no corrections), the calculation gives 1121 meV/atom.

The space group is P4/mmm (No. 123) and the conventional cell measures 4.087, 4.087 and 5.712 Å, with angles of 90.00, 90.00 and 90.00 degrees. The asymmetric unit holds Sn at (0.000, 0.000, 0.000), Hg at (0.500, 0.500, 0.500), Se at (0.000, 0.000, 0.500) and N at (0.000, 0.500, 0.000).


Density functional theory data (GGA-PBEsol) for an optimized crystal structure of SrHgSeN2.

As for the density: 6.37 Mg/m³. For the formation energy (no corrections), the calculation gives 804 meV/atom.

The space group is P4/mmm (No. 123) and the conventional cell measures 4.366, 4.366 and 5.400 Å, with angles of 90.00, 90.00 and 90.00 degrees. The asymmetric unit holds Sr at (0.000, 0.000, 0.000), Hg at (0.500, 0.500, 0.500), Se at (0.500, 0.500, 0.000) and N at (0.000, 0.500, 0.500).


Density functional theory data (GGA-PBEsol) for an optimized crystal structure of TcHgSe2N.

As for the density: 8.42 Mg/m³. For the formation energy (no corrections), the calculation gives 181 meV/atom.

The space group is P4/mmm (No. 123) and the conventional cell measures 5.026, 5.026 and 3.672 Å, with angles of 90.00, 90.00 and 90.00 degrees. The asymmetric unit holds Tc at (0.000, 0.000, 0.000), Hg at (0.500, 0.500, 0.500), Se at (0.000, 0.500, 0.000) and N at (0.000, 0.000, 0.500).